Run w
Material: AsS2O
Method: DFT, PBE
State: optimized geometry

Properties
size of the total moment = 0.000 Bohr magnetons per cell
crystal system = trigonal
density of states at the Fermi level = 2.42 states/eV/cell
space-group type = R-3m, No. 166

The structure in CIF format:
```
data_AsS2O
_symmetry_space_group_name_H-M 'P 1'
_symmetry_Int_Tables_number 1
_cell_length_a 6.984
_cell_length_b 6.984
_cell_length_c 6.984
_cell_angle_alpha 29.65
_cell_angle_beta 29.65
_cell_angle_gamma 29.65
loop_
_symmetry_equiv_pos_as_xyz
'x,y,z'
loop_
_atom_site_label
_atom_site_type_symbol
_atom_site_fract_x
_atom_site_fract_y
_atom_site_fract_z
_atom_site_occupancy
As1 As 0.000 0.000 0.000 1
S1 S 0.411 0.411 0.411 1
S2 S 0.589 0.589 0.589 1
O1 O 0.500 0.500 0.500 1
```

***

Run x
Material: AsS2O
Method: DFT, PBE
State: optimized geometry

Properties
size of the total moment = 0.000 Bohr magnetons per cell
crystal system = cubic
density of states at the Fermi level = 3.55 states/eV/cell
space-group type = Fm-3m, No. 225

The structure in CIF format:
```
data_AsS2O
_symmetry_space_group_name_H-M 'P 1'
_symmetry_Int_Tables_number 1
_cell_length_a 4.291
_cell_length_b 4.291
_cell_length_c 4.291
_cell_angle_alpha 60.00
_cell_angle_beta 60.00
_cell_angle_gamma 60.00
loop_
_symmetry_equiv_pos_as_xyz
'x,y,z'
loop_
_atom_site_label
_atom_site_type_symbol
_atom_site_fract_x
_atom_site_fract_y
_atom_site_fract_z
_atom_site_occupancy
As1 As 0.000 0.000 0.000 1
S1 S 0.250 0.250 0.250 1
S2 S 0.750 0.750 0.750 1
O1 O 0.500 0.500 0.500 1
```

***

It is run x that is the least stable of them.

***

Run w
Material: As3SO
Method: DFT, PBE
State: optimized geometry

Properties
size of the total moment = 0.000 Bohr magnetons per cell
crystal system = cubic
density of states at the Fermi level = 4.24 states/eV/cell
space-group type = Pm-3m, No. 221

The structure in CIF format:
```
data_As3SO
_symmetry_space_group_name_H-M 'P 1'
_symmetry_Int_Tables_number 1
_cell_length_a 4.435
_cell_length_b 4.435
_cell_length_c 4.435
_cell_angle_alpha 90.00
_cell_angle_beta 90.00
_cell_angle_gamma 90.00
loop_
_symmetry_equiv_pos_as_xyz
'x,y,z'
loop_
_atom_site_label
_atom_site_type_symbol
_atom_site_fract_x
_atom_site_fract_y
_atom_site_fract_z
_atom_site_occupancy
As1 As 0.000 0.000 0.500 1
As2 As 0.000 0.500 0.000 1
As3 As 0.500 0.000 0.000 1
S1 S 0.500 0.500 0.500 1
O1 O 0.000 0.000 0.000 1
```

***

Run x
Material: As3SO
Method: DFT, PBE
State: optimized geometry

Properties
size of the total moment = 0.000 Bohr magnetons per cell
crystal system = cubic
density of states at the Fermi level = 9.29 states/eV/cell
space-group type = Pm-3m, No. 221

The structure in CIF format:
```
data_As3SO
_symmetry_space_group_name_H-M 'P 1'
_symmetry_Int_Tables_number 1
_cell_length_a 4.742
_cell_length_b 4.742
_cell_length_c 4.742
_cell_angle_alpha 90.00
_cell_angle_beta 90.00
_cell_angle_gamma 90.00
loop_
_symmetry_equiv_pos_as_xyz
'x,y,z'
loop_
_atom_site_label
_atom_site_type_symbol
_atom_site_fract_x
_atom_site_fract_y
_atom_site_fract_z
_atom_site_occupancy
As1 As 0.000 0.000 0.500 1
As2 As 0.000 0.500 0.000 1
As3 As 0.500 0.000 0.000 1
S1 S 0.000 0.000 0.000 1
O1 O 0.500 0.500 0.500 1
```

***

It is run x that is the least stable of them.

***

Run w
Material: AsS3O
Method: DFT, PBE
State: optimized geometry

Properties
size of the total moment = 0.000 Bohr magnetons per cell
crystal system = cubic
density of states at the Fermi level = 3.47 states/eV/cell
space-group type = Pm-3m, No. 221

The structure in CIF format:
```
data_AsS3O
_symmetry_space_group_name_H-M 'P 1'
_symmetry_Int_Tables_number 1
_cell_length_a 4.264
_cell_length_b 4.264
_cell_length_c 4.264
_cell_angle_alpha 90.00
_cell_angle_beta 90.00
_cell_angle_gamma 90.00
loop_
_symmetry_equiv_pos_as_xyz
'x,y,z'
loop_
_atom_site_label
_atom_site_type_symbol
_atom_site_fract_x
_atom_site_fract_y
_atom_site_fract_z
_atom_site_occupancy
As1 As 0.000 0.000 0.000 1
S1 S 0.000 0.500 0.500 1
S2 S 0.500 0.000 0.500 1
S3 S 0.500 0.500 0.000 1
O1 O 0.500 0.500 0.500 1
```

***

Run x
Material: AsS3O
Method: DFT, PBE
State: optimized geometry

Properties
size of the total moment = 0.000 Bohr magnetons per cell
crystal system = cubic
density of states at the Fermi level = 9.53 states/eV/cell
space-group type = Pm-3m, No. 221

The structure in CIF format:
```
data_AsS3O
_symmetry_space_group_name_H-M 'P 1'
_symmetry_Int_Tables_number 1
_cell_length_a 4.662
_cell_length_b 4.662
_cell_length_c 4.662
_cell_angle_alpha 90.00
_cell_angle_beta 90.00
_cell_angle_gamma 90.00
loop_
_symmetry_equiv_pos_as_xyz
'x,y,z'
loop_
_atom_site_label
_atom_site_type_symbol
_atom_site_fract_x
_atom_site_fract_y
_atom_site_fract_z
_atom_site_occupancy
As1 As 0.000 0.000 0.000 1
S1 S 0.000 0.000 0.500 1
S2 S 0.000 0.500 0.000 1
S3 S 0.500 0.000 0.000 1
O1 O 0.500 0.500 0.500 1
```

***

It is run x that is the least stable of them.

***

Run w
Material: As2SeSO
Method: DFT, PBE
State: optimized geometry

Properties
size of the total moment = 0.000 Bohr magnetons per cell
crystal system = tetragonal
density of states at the Fermi level = 7.93 states/eV/cell
space-group type = P4/mmm, No. 123

The structure in CIF format:
```
data_As2SeSO
_symmetry_space_group_name_H-M 'P 1'
_symmetry_Int_Tables_number 1
_cell_length_a 4.797
_cell_length_b 4.797
_cell_length_c 4.692
_cell_angle_alpha 90.00
_cell_angle_beta 90.00
_cell_angle_gamma 90.00
loop_
_symmetry_equiv_pos_as_xyz
'x,y,z'
loop_
_atom_site_label
_atom_site_type_symbol
_atom_site_fract_x
_atom_site_fract_y
_atom_site_fract_z
_atom_site_occupancy
As1 As 0.000 0.500 0.000 1
As2 As 0.500 0.000 0.000 1
Se1 Se 0.000 0.000 0.500 1
S1 S 0.000 0.000 0.000 1
O1 O 0.500 0.500 0.500 1
```

***

Run x
Material: As2SeSO
Method: DFT, PBE
State: optimized geometry

Properties
size of the total moment = 0.000 Bohr magnetons per cell
crystal system = tetragonal
density of states at the Fermi level = 3.36 states/eV/cell
space-group type = P4/mmm, No. 123

The structure in CIF format:
```
data_As2SeSO
_symmetry_space_group_name_H-M 'P 1'
_symmetry_Int_Tables_number 1
_cell_length_a 4.520
_cell_length_b 4.520
_cell_length_c 4.358
_cell_angle_alpha 90.00
_cell_angle_beta 90.00
_cell_angle_gamma 90.00
loop_
_symmetry_equiv_pos_as_xyz
'x,y,z'
loop_
_atom_site_label
_atom_site_type_symbol
_atom_site_fract_x
_atom_site_fract_y
_atom_site_fract_z
_atom_site_occupancy
As1 As 0.000 0.500 0.000 1
As2 As 0.500 0.000 0.000 1
Se1 Se 0.000 0.000 0.500 1
S1 S 0.500 0.500 0.500 1
O1 O 0.000 0.000 0.000 1
```

***

It is run w that is the least stable of them.

***

Run w
Material: SbAs3O
Method: DFT, PBE
State: optimized geometry

Properties
size of the total moment = 0.000 Bohr magnetons per cell
crystal system = cubic
density of states at the Fermi level = 10.78 states/eV/cell
space-group type = Pm-3m, No. 221

The structure in CIF format:
```
data_SbAs3O
_symmetry_space_group_name_H-M 'P 1'
_symmetry_Int_Tables_number 1
_cell_length_a 5.267
_cell_length_b 5.267
_cell_length_c 5.267
_cell_angle_alpha 90.00
_cell_angle_beta 90.00
_cell_angle_gamma 90.00
loop_
_symmetry_equiv_pos_as_xyz
'x,y,z'
loop_
_atom_site_label
_atom_site_type_symbol
_atom_site_fract_x
_atom_site_fract_y
_atom_site_fract_z
_atom_site_occupancy
Sb1 Sb 0.000 0.000 0.000 1
As1 As 0.000 0.000 0.500 1
As2 As 0.000 0.500 0.000 1
As3 As 0.500 0.000 0.000 1
O1 O 0.500 0.500 0.500 1
```

***

Run x
Material: SbAs3O
Method: DFT, PBE
State: optimized geometry

Properties
size of the total moment = 0.000 Bohr magnetons per cell
crystal system = cubic
density of states at the Fermi level = 2.27 states/eV/cell
space-group type = Pm-3m, No. 221

The structure in CIF format:
```
data_SbAs3O
_symmetry_space_group_name_H-M 'P 1'
_symmetry_Int_Tables_number 1
_cell_length_a 4.524
_cell_length_b 4.524
_cell_length_c 4.524
_cell_angle_alpha 90.00
_cell_angle_beta 90.00
_cell_angle_gamma 90.00
loop_
_symmetry_equiv_pos_as_xyz
'x,y,z'
loop_
_atom_site_label
_atom_site_type_symbol
_atom_site_fract_x
_atom_site_fract_y
_atom_site_fract_z
_atom_site_occupancy
Sb1 Sb 0.000 0.000 0.000 1
As1 As 0.000 0.500 0.500 1
As2 As 0.500 0.000 0.500 1
As3 As 0.500 0.500 0.000 1
O1 O 0.500 0.500 0.500 1
```

***

It is run w that is the least stable of them.

***

Run w
Material: SbAs2O
Method: DFT, PBE
State: optimized geometry

Properties
size of the total moment = 0.000 Bohr magnetons per cell
crystal system = cubic
density of states at the Fermi level = 1.97 states/eV/cell
space-group type = Fm-3m, No. 225

The structure in CIF format:
```
data_SbAs2O
_symmetry_space_group_name_H-M 'P 1'
_symmetry_Int_Tables_number 1
_cell_length_a 4.632
_cell_length_b 4.632
_cell_length_c 4.632
_cell_angle_alpha 60.00
_cell_angle_beta 60.00
_cell_angle_gamma 60.00
loop_
_symmetry_equiv_pos_as_xyz
'x,y,z'
loop_
_atom_site_label
_atom_site_type_symbol
_atom_site_fract_x
_atom_site_fract_y
_atom_site_fract_z
_atom_site_occupancy
Sb1 Sb 0.000 0.000 0.000 1
As1 As 0.250 0.250 0.250 1
As2 As 0.750 0.750 0.750 1
O1 O 0.500 0.500 0.500 1
```

***

Run x
Material: SbAs2O
Method: DFT, PBE
State: optimized geometry

Properties
size of the total moment = 0.000 Bohr magnetons per cell
crystal system = tetragonal
density of states at the Fermi level = 6.28 states/eV/cell
space-group type = I-42d, No. 122

The structure in CIF format:
```
data_SbAs2O
_symmetry_space_group_name_H-M 'P 1'
_symmetry_Int_Tables_number 1
_cell_length_a 7.572
_cell_length_b 7.572
_cell_length_c 7.572
_cell_angle_alpha 140.34
_cell_angle_beta 140.34
_cell_angle_gamma 57.33
loop_
_symmetry_equiv_pos_as_xyz
'x,y,z'
loop_
_atom_site_label
_atom_site_type_symbol
_atom_site_fract_x
_atom_site_fract_y
_atom_site_fract_z
_atom_site_occupancy
Sb1 Sb 0.000 0.000 0.000 1
Sb2 Sb 0.750 0.250 0.500 1
As1 As 0.259 0.625 0.134 1
As2 As 0.375 0.509 0.634 1
As3 As 0.491 0.125 0.866 1
As4 As 0.875 0.741 0.366 1
O1 O 0.250 0.750 0.500 1
O2 O 0.500 0.500 0.000 1
```

***

It is run w that is the least stable of them.